No. 1
Here is crystalline Ce5TlSn3 at its relaxed geometry from Alexandria. Energies are from GGA-PBE.

Results
Its crystal system is hexagonal. The volume comes out at 520.74 Å³ per cell. Its total magnetization is 0.757 μB per atom. Its formation energy from the elements is -0.53 eV per atom. Its symmetry is P6_3/mcm, No. 193. The total energy comes out at -97.60 eV/cell.

Unit cell a=6.5719 b=9.5649 c=9.5655 alpha=120.00 beta=90.00 gamma=90.00
Each line ends with the local moment (μB).
Sites, in units of the cell vectors:
Ce 0.2500 0.2953 0.2953  0.89
Sn 0.2500 0.0000 0.3664  -0.04
Sn 0.7500 0.6337 0.0000  -0.04
Tl 0.0000 0.0000 0.0000  0.05
Sn 0.2500 0.6336 0.6336  -0.04
Ce 0.0000 0.3333 0.6667  1.15
Ce 0.5000 0.6667 0.3333  1.15
Ce 0.0000 0.6667 0.3333  1.15
Ce 0.7500 0.7047 0.7047  0.89
Sn 0.2500 0.3663 0.0000  -0.04
Tl 0.5000 0.0000 0.0000  0.05
Ce 0.2500 0.0000 0.7047  0.89
Sn 0.7500 0.0000 0.6336  -0.04
Ce 0.7500 0.0000 0.2953  0.89
Ce 0.7500 0.2953 0.0000  0.89
Ce 0.5000 0.3333 0.6667  1.15
Sn 0.7500 0.3664 0.3664  -0.04
Ce 0.2500 0.7047 0.0000  0.89

No. 2
Here is crystalline Tl3BO at its relaxed geometry from Alexandria. Energies are from GGA-PBE.

Results
Its crystal system is cubic. The excess energy over the best structure of this formula in the dataset is 0.000 eV/atom. The volume comes out at 111.24 Å³ per cell. Its total magnetization is 0.000 μB per atom. For the raw formation energy, the calculation gives 0.643 eV/atom. Its symmetry is Pm-3m, No. 221. The total energy comes out at -15.52 eV/cell.

Unit cell a=4.8094 b=4.8094 c=4.8094 alpha=90.00 beta=90.00 gamma=90.00
Sites, in units of the cell vectors:
Tl 0.0000 0.0000 0.5000
B 0.0000 0.0000 0.0000
O 0.5000 0.5000 0.5000
Tl 0.5000 0.0000 0.0000
Tl 0.0000 0.5000 0.0000

No. 3
Here is crystalline LiSmMg4 at its relaxed geometry from Alexandria. Energies are from GGA-PBE.

Results
Its crystal system is tetragonal. The excess energy over the best structure of this formula in the dataset is 0.000 eV/atom. The volume comes out at 142.85 Å³ per cell. Its total magnetization is 0.000 μB per atom. Its formation energy from the elements is -0.06 eV per atom. Its symmetry is P4/mmm, No. 123. The total energy comes out at -13.39 eV/cell.

Unit cell a=3.4460 b=3.4460 c=12.0292 alpha=90.00 beta=90.00 gamma=90.00
Sites, in units of the cell vectors:
Mg 0.0000 0.0000 0.3599
Mg 0.5000 0.5000 0.8013
Li 0.5000 0.5000 0.5000
Mg 0.0000 0.0000 0.6401
Sm 0.0000 0.0000 0.0000
Mg 0.5000 0.5000 0.1987

No. 4
Here is crystalline LiLa2Cd3 at its relaxed geometry from Alexandria. Energies are from GGA-PBE.

Results
Its crystal system is orthorhombic. The excess energy over the best structure of this formula in the dataset is 0.000 eV/atom. The volume comes out at 316.51 Å³ per cell. Its total magnetization is 0.000 μB per atom. Its formation energy from the elements is -0.30 eV per atom. Its symmetry is Fmmm, No. 69. The total energy comes out at -32.66 eV/cell.

Unit cell a=6.2011 b=6.2011 c=9.5673 alpha=101.44 beta=101.44 gamma=112.84
Sites, in units of the cell vectors:
Cd 0.8303 0.8303 0.6605
La 0.7584 0.7584 0.0000
Cd 0.1715 0.6597 0.8311
Cd 0.6597 0.1715 0.8311
Cd 0.3403 0.8285 0.1689
La 0.2416 0.2416 0.0000
Li 0.6666 0.6666 0.3332
Cd 0.1697 0.1697 0.3395
La 0.7500 0.2500 0.5000
La 0.2500 0.7500 0.5000
Cd 0.8285 0.3403 0.1689
Li 0.3334 0.3334 0.6668

The lowest volume belongs to which entry? Tl3BO

Which value of total energy does entry 1 give? -97.60 eV/cell

What is the volume in the third record? 142.85 Å³ per cell